No. 1
## Ni3HgSe2S2 (PBE)

Data for Ni3HgSe2S2 after structural relaxation.

Cell lengths 5.373, 5.373, 5.951 Å; angles 90.00, 90.00, 91.18 degrees
Fractional coordinates of all 8 atoms:
Ni1 0.000 0.500 0.861
S1 0.759 0.241 0.679
Ni2 0.000 0.000 0.892
Ni3 0.500 0.000 0.861
Se1 0.714 0.714 0.082
Hg1 0.000 0.000 0.364
Se2 0.286 0.286 0.082
S2 0.241 0.759 0.679

- theoretical density (g/cm³) = 5.79
- total moment (μB per cell) = 0.010

---

No. 2
## Te3Pd2 (PBE)

Data for Te3Pd2 after structural relaxation.

Cell lengths 6.126, 6.478, 7.255 Å; angles 90.00, 90.00, 90.00 degrees
Fractional coordinates of all 10 atoms:
Te1 0.500 0.000 0.794
Pd1 0.750 0.250 0.000
Te2 0.500 0.215 0.293
Pd2 0.250 0.750 0.000
Te3 0.000 0.500 0.206
Te4 0.000 0.715 0.707
Te5 0.500 0.785 0.293
Pd3 0.750 0.750 0.000
Te6 0.000 0.285 0.707
Pd4 0.250 0.250 0.000

- theoretical density (g/cm³) = 6.87

---

Raw total energy, record by record: -0.309; -0.311 Ry/atom